No. 1
# Ac2TbYTe6

A geometry-optimized Ac2TbYTe6 structure (PBE, the Alexandria database).

Space group   P2_1/c
Raw total energy   -5.328 eV per atom
Volume   36.5 Å³/atom
E_form (uncorrected)   -1.5119 eV per atom
Total moment   0.00 μB/cell
Mass density   6.67 Mg/m³

a b c (Å): 7.586 8.510 13.613
angles (deg): 90.00 123.77 90.00
Atoms (fractional coordinates):
Ac: 0.202 0.113 0.250
Ac: 0.202 0.387 0.750
Ac: 0.798 0.613 0.250
Ac: 0.798 0.887 0.750
Tb: 0.500 0.000 0.000
Tb: 0.500 0.500 0.500
Y: 0.000 0.000 0.500
Y: 0.000 0.500 0.000
Te: 0.100 0.181 0.935
Te: 0.100 0.319 0.435
Te: 0.268 0.681 0.934
Te: 0.268 0.819 0.434
Te: 0.392 0.038 0.749
Te: 0.392 0.462 0.249
Te: 0.608 0.538 0.751
Te: 0.608 0.962 0.251
Te: 0.732 0.181 0.566
Te: 0.732 0.319 0.066
Te: 0.900 0.681 0.565
Te: 0.900 0.819 0.065

No. 2
# AcTb2Th

A geometry-optimized AcTb2Th structure (PBE, the Alexandria database).

ΔE_f   0.062 eV/atom
Space group   P6_3/mmc
E above lowest polymorph   8 kJ/mol of formula units
Raw total energy   -5.136 eV per atom
Volume   34.8 Å³/atom
Total moment   0.00 μB/cell
Mass density   9.26 Mg/m³

a b c (Å): 3.682 3.682 23.739
angles (deg): 90.00 90.00 120.00
Atoms (fractional coordinates):
Ac: 0.333 0.667 0.250
Ac: 0.667 0.333 0.750
Tb: 0.333 0.667 0.618
Tb: 0.333 0.667 0.882
Tb: 0.667 0.333 0.118
Tb: 0.667 0.333 0.382
Th: 0.000 0.000 0.000
Th: 0.000 0.000 0.500

No. 3
# AcTb2Th

A geometry-optimized AcTb2Th structure (PBE, the Alexandria database).

ΔE_f   0.075 eV/atom
Space group   R3m
E above lowest polymorph   14 kJ/mol of formula units
Raw total energy   -5.122 eV per atom
Volume   34.9 Å³/atom
Total moment   0.00 μB/cell
Mass density   9.25 Mg/m³

a b c (Å): 12.058 12.058 12.058
angles (deg): 17.57 17.57 17.57
Atoms (fractional coordinates):
Ac: 0.000 0.000 0.000
Tb: 0.420 0.420 0.420
Tb: 0.581 0.581 0.581
Th: 0.166 0.166 0.166

No. 4
# AcTb2Th

A geometry-optimized AcTb2Th structure (PBE, the Alexandria database).

ΔE_f   0.040 eV/atom
Space group   P4/mmm
E above lowest polymorph   0 kJ/mol of formula units
Raw total energy   -5.157 eV per atom
Volume   35.0 Å³/atom
Total moment   0.00 μB/cell
Mass density   9.21 Mg/m³

a b c (Å): 3.689 3.689 10.289
angles (deg): 90.00 90.00 90.00
Atoms (fractional coordinates):
Ac: 0.000 0.000 0.000
Tb: 0.500 0.500 0.271
Tb: 0.500 0.500 0.729
Th: 0.000 0.000 0.500